## Bi2CSe (PBE)

Data for Bi2CSe after structural relaxation.

It has space group I-42d (No. 122), with a = 6.894 Å, b = 6.894 Å, c = 8.769 Å, α = 90.00°, β = 90.00° and γ = 90.00°. The asymmetric unit holds Bi at (0.180, 0.750, 0.125), C at (0.000, 0.000, 0.000) and Se at (0.000, 0.000, 0.500).

The formation energy (no corrections) comes out at 0.78 eV per atom. As for the crystal system: tetragonal. The energy relative to the lowest polymorph listed for this composition comes out at 0 meV per atom.